Below is a geometry-optimized CsKInCu2 structure, with properties calculated at the PBE-GGA level.

Computed properties:
Calculated volume = 44.05 Å³ per atom
Symmetry = P4/mmm (123)
Uncorrected energy = -1.6300 eV per atom
Formation energy from the elements = 4.732 eV/f.u.

Lattice parameters (Å, degrees): 5.8391 5.8391 6.4599 90.00 90.00 90.00
Positions (direct):
Cs 0.0000 0.0000 0.0000
K 0.0000 0.0000 0.5000
In 0.5000 0.5000 0.0000
Cu 0.0000 0.5000 0.5000
Cu 0.5000 0.0000 0.5000

---

Below is a geometry-optimized CsK2InCu structure, with properties calculated at the PBE-GGA level.

Computed properties:
Calculated volume = 45.37 Å³ per atom
Symmetry = P4/mmm (123)
Uncorrected energy = -1.8513 eV per atom
Formation energy from the elements = 0.627 eV/f.u.

Lattice parameters (Å, degrees): 6.6399 6.6399 5.1457 90.00 90.00 90.00
Positions (direct):
Cs 0.0000 0.0000 0.0000
K 0.0000 0.5000 0.5000
K 0.5000 0.0000 0.5000
In 0.5000 0.5000 0.0000
Cu 0.5000 0.5000 0.5000

---

Below is a geometry-optimized CsNaIn2Cu structure, with properties calculated at the PBE-GGA level.

Computed properties:
Calculated volume = 32.13 Å³ per atom
Symmetry = P4/mmm (123)
Uncorrected energy = -2.2913 eV per atom
Formation energy from the elements = 0.289 eV/f.u.

Lattice parameters (Å, degrees): 5.1982 5.1982 5.9448 90.00 90.00 90.00
Positions (direct):
Cs 0.0000 0.0000 0.0000
Na 0.5000 0.5000 0.0000
In 0.0000 0.5000 0.5000
In 0.5000 0.0000 0.5000
Cu 0.5000 0.5000 0.5000

---

Below is a geometry-optimized CsNa2InCu structure, with properties calculated at the PBE-GGA level.

Computed properties:
Calculated volume = 35.35 Å³ per atom
Symmetry = P4/mmm (123)
Uncorrected energy = -1.9727 eV per atom
Formation energy from the elements = 0.463 eV/f.u.

Lattice parameters (Å, degrees): 5.9150 5.9150 5.0520 90.00 90.00 90.00
Positions (direct):
Cs 0.0000 0.0000 0.0000
Na 0.0000 0.5000 0.5000
Na 0.5000 0.0000 0.5000
In 0.5000 0.5000 0.0000
Cu 0.5000 0.5000 0.5000

---

Below is a geometry-optimized Cs2RbInCu structure, with properties calculated at the PBE-GGA level.

Computed properties:
Calculated volume = 55.42 Å³ per atom
Symmetry = P4/mmm (123)
Uncorrected energy = -1.7329 eV per atom
Formation energy from the elements = 0.845 eV/f.u.

Lattice parameters (Å, degrees): 7.3110 7.3110 5.1837 90.00 90.00 90.00
Positions (direct):
Cs 0.0000 0.5000 0.0000
Cs 0.5000 0.0000 0.0000
Rb 0.0000 0.0000 0.5000
In 0.5000 0.5000 0.5000
Cu 0.5000 0.5000 0.0000

---

Below is a geometry-optimized CsIn2CuS4 structure, with properties calculated at the PBE-GGA level.

Computed properties:
Calculated volume = 28.11 Å³ per atom
Symmetry = I-42m (121)
Uncorrected energy = -3.8759 eV per atom
Formation energy (no corrections) = -4.07 eV/f.u.

Lattice parameters (Å, degrees): 6.1297 6.1297 11.9699 90.00 90.00 90.00
Positions (direct):
Cs 0.0000 0.0000 0.0000
Cs 0.5000 0.5000 0.5000
In 0.0000 0.5000 0.2500
In 0.0000 0.5000 0.7500
In 0.5000 0.0000 0.2500
In 0.5000 0.0000 0.7500
Cu 0.0000 0.0000 0.5000
Cu 0.5000 0.5000 0.0000
S 0.1898 0.1898 0.6430
S 0.1898 0.8102 0.3570
S 0.3102 0.3102 0.1430
S 0.3102 0.6898 0.8570
S 0.6898 0.3102 0.8570
S 0.6898 0.6898 0.1430
S 0.8102 0.1898 0.3570
S 0.8102 0.8102 0.6430

---

Below is a geometry-optimized CsInCuTe2 structure, with properties calculated at the PBE-GGA level.

Computed properties:
Calculated volume = 38.77 Å³ per atom
Symmetry = Cmme (67)
Uncorrected energy = -3.1934 eV per atom
Formation energy (no corrections) = -2.00 eV/f.u.

Lattice parameters (Å, degrees): 8.5166 8.5166 6.8675 90.00 90.00 128.88
Positions (direct):
Cs 0.2500 0.7500 0.7534
Cs 0.7500 0.2500 0.2466
In 0.2500 0.2500 0.5000
In 0.7500 0.7500 0.5000
Cu 0.0000 0.0000 0.0000
Cu 0.5000 0.5000 0.0000
Te 0.1147 0.8853 0.2491
Te 0.3853 0.6147 0.2491
Te 0.6147 0.3853 0.7509
Te 0.8853 0.1147 0.7509

---

Below is a geometry-optimized Cs3CuIr structure, with properties calculated at the PBE-GGA level.

Computed properties:
Calculated volume = 49.98 Å³ per atom
Symmetry = Pm-3m (221)
Uncorrected energy = -2.3378 eV per atom
Relative energy among the computed polymorphs = 0.0 kJ/mol of atoms
Formation energy from the elements = 3.829 eV/f.u.

Lattice parameters (Å, degrees): 6.2986 6.2986 6.2986 90.00 90.00 90.00
Positions (direct):
Cs 0.0000 0.0000 0.5000
Cs 0.0000 0.5000 0.0000
Cs 0.5000 0.0000 0.0000
Cu 0.5000 0.5000 0.5000
Ir 0.0000 0.0000 0.0000